1.
# Ta2FeGeN | Alexandria | PBE-GGA | optimized geometry
data_Ta2FeGeN
_symmetry_space_group_name_H-M 'P 4/m m m'
_symmetry_Int_Tables_number 123
_symmetry_space_group_name_Hall '-P 4 2'
_cell_length_a 4.878
_cell_length_b 4.878
_cell_length_c 3.488
_cell_angle_alpha 90.00
_cell_angle_beta 90.00
_cell_angle_gamma 90.00
loop_
_atom_site_label
_atom_site_fract_x
_atom_site_fract_y
_atom_site_fract_z
_atom_site_occupancy
Ta1 0.000 0.500 0.000 1
Fe1 0.000 0.000 0.500 1
Ge1 0.500 0.500 0.000 1
N1 0.500 0.500 0.500 1
# - DOS(E_F) (states/eV/f.u.) = 8.5
# - uncorrected formation energy (eV per atom) = 1.732
# - total magnetization (μB/f.u.) = 0.0

---

2.
# KNp2I6 | Alexandria | PBE-GGA | optimized geometry
data_KNp2I6
_symmetry_space_group_name_H-M 'P -3 1 m'
_symmetry_Int_Tables_number 162
_symmetry_space_group_name_Hall '-P 3 2'
_cell_length_a 8.0265
_cell_length_b 8.0265
_cell_length_c 7.8869
_cell_angle_alpha 90.00
_cell_angle_beta 90.00
_cell_angle_gamma 120.00
loop_
_atom_site_label
_atom_site_fract_x
_atom_site_fract_y
_atom_site_fract_z
_atom_site_occupancy
K1 0.0000 0.0000 0.0000 1
Np1 0.3333 0.6667 0.5000 1
I1 0.0000 0.3639 0.7335 1
# - DOS(E_F) (states/eV/f.u.) = 20.9
# - uncorrected formation energy (eV per atom) = -0.943
# - total magnetization (μB/f.u.) = 9.0

---

3.
# Rb2NaCo2 | Alexandria | PBE-GGA | optimized geometry
data_Rb2NaCo2
_symmetry_space_group_name_H-M 'P 4/m b m'
_symmetry_Int_Tables_number 127
_symmetry_space_group_name_Hall '-P 4 2ab'
_cell_length_a 8.372
_cell_length_b 8.372
_cell_length_c 5.071
_cell_angle_alpha 90.00
_cell_angle_beta 90.00
_cell_angle_gamma 90.00
loop_
_atom_site_label
_atom_site_fract_x
_atom_site_fract_y
_atom_site_fract_z
_atom_site_occupancy
Rb1 0.182 0.318 0.000 1
Na1 0.000 0.000 0.500 1
Co1 0.088 0.588 0.500 1
# - E_form (eV/atom) = 0.89
# - ΔE to the lowest computed polymorph (meV/atom) = 0
# - DOS(E_F) (states/eV/f.u.) = 4.8
# - total magnetization (μB/f.u.) = 3.4

---

Here are the calculated uncorrected energy numbers, same order: -7.2897 -4.9745 -2.6033 (eV/atom).